This record from Alexandria describes crystalline HgMo2P at its relaxed geometry. The functional is PBE.

Output
- DOS at the Fermi energy: 3.61 states/eV/cell
- Total energy: -27.2 eV/cell
- DFT formation energy: 3.49 kJ per mole of atoms
- Mass density: 10917 kg/m³
- Distance to the lowest polymorph of the same formula: 0 meV/atom

Geometry as CIF:
```
data_HgMo2P
_cell_length_a 3.019
_cell_length_b 3.019
_cell_length_c 7.066
_cell_angle_alpha 90.00
_cell_angle_beta 90.00
_cell_angle_gamma 90.00
_symmetry_space_group_name_H-M 'P 4/m m m'
_symmetry_Int_Tables_number 123
_symmetry_space_group_name_Hall '-P 4 2'
loop_
_atom_site_label
_atom_site_fract_x
_atom_site_fract_y
_atom_site_fract_z
Hg1 0.000 0.000 0.000
Mo1 0.500 0.500 0.309
P1 0.000 0.000 0.500
```

---

This record from Alexandria describes crystalline Hg2MoP at its relaxed geometry. The functional is PBE.

Output
- DOS at the Fermi energy: 4.48 states/eV/cell
- Total energy: -32.5 eV/cell
- DFT formation energy: 14.71 kJ per mole of atoms
- Mass density: 10642 kg/m³
- Distance to the lowest polymorph of the same formula: 61 meV/atom

Geometry as CIF:
```
data_Hg2MoP
_cell_length_a 2.862
_cell_length_b 3.904
_cell_length_c 14.746
_cell_angle_alpha 90.00
_cell_angle_beta 90.00
_cell_angle_gamma 90.00
_symmetry_space_group_name_H-M 'I m m m'
_symmetry_Int_Tables_number 71
_symmetry_space_group_name_Hall '-I 2 2'
loop_
_atom_site_label
_atom_site_fract_x
_atom_site_fract_y
_atom_site_fract_z
Hg1 0.000 0.000 0.180
Mo1 0.000 0.500 0.500
P1 0.000 0.500 0.000
```

---

This record from Alexandria describes crystalline Hg2MoP at its relaxed geometry. The functional is PBE.

Output
- DOS at the Fermi energy: 2.79 states/eV/cell
- Total energy: -13.9 eV/cell
- DFT formation energy: 72.01 kJ per mole of atoms
- Mass density: 11516 kg/m³
- Distance to the lowest polymorph of the same formula: 655 meV/atom

Geometry as CIF:
```
data_Hg2MoP
_cell_length_a 2.861
_cell_length_b 5.006
_cell_length_c 5.317
_cell_angle_alpha 90.00
_cell_angle_beta 90.00
_cell_angle_gamma 90.00
_symmetry_space_group_name_H-M 'P m m m'
_symmetry_Int_Tables_number 47
loop_
_symmetry_equiv_pos_as_xyz
'x,y,z'
'-x,-y,-z'
'-x,-y,z'
'x,y,-z'
'x,-y,-z'
'-x,y,z'
'-x,y,-z'
'x,-y,z'
loop_
_atom_site_label
_atom_site_fract_x
_atom_site_fract_y
_atom_site_fract_z
Hg1 0.000 0.000 0.248
Mo1 0.500 0.500 0.000
P1 0.500 0.500 0.500
```

---

This record from Alexandria describes crystalline HgMoP2Rh at its relaxed geometry. The functional is PBE.

Output
- DOS at the Fermi energy: 3.58 states/eV/cell
- Total energy: -24.9 eV/cell
- DFT formation energy: 84.76 kJ per mole of atoms
- Mass density: 7084 kg/m³

Geometry as CIF:
```
data_HgMoP2Rh
_cell_length_a 4.442
_cell_length_b 4.442
_cell_length_c 5.481
_cell_angle_alpha 90.00
_cell_angle_beta 90.00
_cell_angle_gamma 90.00
_symmetry_space_group_name_H-M 'P 4/m m m'
_symmetry_Int_Tables_number 123
_symmetry_space_group_name_Hall '-P 4 2'
loop_
_atom_site_label
_atom_site_fract_x
_atom_site_fract_y
_atom_site_fract_z
Hg1 0.000 0.000 0.000
Mo1 0.500 0.500 0.000
P1 0.000 0.500 0.500
Rh1 0.500 0.500 0.500
```

---

This record from Alexandria describes crystalline Zn2HgMoP at its relaxed geometry. The functional is PBE.

Output
- DOS at the Fermi energy: 3.21 states/eV/cell
- Total energy: -16.5 eV/cell
- DFT formation energy: 50.93 kJ per mole of atoms
- Mass density: 7866 kg/m³

Geometry as CIF:
```
data_Zn2HgMoP
_cell_length_a 4.586
_cell_length_b 4.586
_cell_length_c 4.600
_cell_angle_alpha 90.00
_cell_angle_beta 90.00
_cell_angle_gamma 90.00
_symmetry_space_group_name_H-M 'P 4/m m m'
_symmetry_Int_Tables_number 123
_symmetry_space_group_name_Hall '-P 4 2'
loop_
_atom_site_label
_atom_site_fract_x
_atom_site_fract_y
_atom_site_fract_z
Zn1 0.000 0.500 0.000
Hg1 0.000 0.000 0.500
Mo1 0.500 0.500 0.500
P1 0.500 0.500 0.000
```

---

This record from Alexandria describes crystalline Pa2HgMo at its relaxed geometry. The functional is PBE.

Output
- DOS at the Fermi energy: 7.27 states/eV/cell
- Total energy: -29.8 eV/cell
- DFT formation energy: 7.69 kJ per mole of atoms
- Mass density: 13604 kg/m³
- Distance to the lowest polymorph of the same formula: 0 meV/atom

Geometry as CIF:
```
data_Pa2HgMo
_cell_length_a 3.252
_cell_length_b 3.252
_cell_length_c 8.753
_cell_angle_alpha 90.00
_cell_angle_beta 90.00
_cell_angle_gamma 90.00
_symmetry_space_group_name_H-M 'P 4/m m m'
_symmetry_Int_Tables_number 123
_symmetry_space_group_name_Hall '-P 4 2'
loop_
_atom_site_label
_atom_site_fract_x
_atom_site_fract_y
_atom_site_fract_z
Pa1 0.000 0.000 0.212
Hg1 0.500 0.500 0.500
Mo1 0.500 0.500 0.000
```

---

This record from Alexandria describes crystalline Pa2HgMo at its relaxed geometry. The functional is PBE.

Output
- DOS at the Fermi energy: 18.23 states/eV/cell
- Total energy: -86.2 eV/cell
- DFT formation energy: 33.58 kJ per mole of atoms
- Mass density: 13079 kg/m³
- Distance to the lowest polymorph of the same formula: 268 meV/atom

Geometry as CIF:
```
data_Pa2HgMo
_cell_length_a 3.1676
_cell_length_b 3.1676
_cell_length_c 33.2521
_cell_angle_alpha 90.00
_cell_angle_beta 90.00
_cell_angle_gamma 120.00
_symmetry_space_group_name_H-M 'R -3 m'
_symmetry_Int_Tables_number 166
_symmetry_space_group_name_Hall '-R 3 2"'
loop_
_atom_site_label
_atom_site_fract_x
_atom_site_fract_y
_atom_site_fract_z
Pa1 0.0000 0.0000 0.0979
Hg1 0.0000 0.0000 0.0000
Mo1 0.0000 0.0000 0.5000
```

---

This record from Alexandria describes crystalline HgMoPb at its relaxed geometry. The functional is PBE.

Output
- DOS at the Fermi energy: 5.72 states/eV/cell
- Total energy: -24.9 eV/cell
- DFT formation energy: 76.12 kJ per mole of atoms
- Mass density: 12745 kg/m³
- Distance to the lowest polymorph of the same formula: 397 meV/atom

Geometry as CIF:
```
data_HgMoPb
_cell_length_a 3.098
_cell_length_b 4.116
_cell_length_c 10.291
_cell_angle_alpha 90.00
_cell_angle_beta 90.00
_cell_angle_gamma 90.00
_symmetry_space_group_name_H-M 'I m m 2'
_symmetry_Int_Tables_number 44
loop_
_symmetry_equiv_pos_as_xyz
'x,y,z'
'-x,-y,z'
'-x,y,z'
'x,-y,z'
'x+1/2,y+1/2,z+1/2'
'-x+1/2,-y+1/2,z+1/2'
'-x+1/2,y+1/2,z+1/2'
'x+1/2,-y+1/2,z+1/2'
loop_
_atom_site_label
_atom_site_fract_x
_atom_site_fract_y
_atom_site_fract_z
Hg1 0.000 0.000 0.000
Mo1 0.000 0.000 0.363
Pb1 0.000 0.000 0.695
```